The following is a DFT calculation (PBE) of Dy2Ga4Ni3Au after structural relaxation.

Cell lengths 4.0448, 4.0448, 10.5054 Å; angles 90.00, 90.00, 90.00 degrees
Space group P-4m2 (No. 115)
Symmetry-distinct sites (fractional):
Dy1 0.0000 0.5000 0.2341 [2 per cell]
Ga1 0.0000 0.0000 0.0000 [1 per cell]
Ga2 0.0000 0.5000 0.6469 [2 per cell]
Ga3 0.5000 0.5000 0.0000 [1 per cell]
Ni1 0.0000 0.5000 0.8698 [2 per cell]
Ni2 0.5000 0.5000 0.5000 [1 per cell]
Au1 0.0000 0.0000 0.5000 [1 per cell]

The energy of formation from the pure elements is -0.5807 eV per atom.